<one>
Compound: Zr2BeF
Source: the Alexandria database
Functional: PBE
Structure: optimized geometry

The structure in CIF format:
```
data_Zr2BeF
_chemical_formula_sum 'Zr8 Be4 F4'
_cell_length_a 4.955
_cell_length_b 4.955
_cell_length_c 11.997
_cell_angle_alpha 90.00
_cell_angle_beta 90.00
_cell_angle_gamma 90.00
_symmetry_space_group_name_H-M 'I -4 2 d'
_symmetry_Int_Tables_number 122
_symmetry_space_group_name_Hall 'I -4 2bw'
loop_
_atom_site_label
_atom_site_fract_x
_atom_site_fract_y
_atom_site_fract_z
Zr1 0.230 0.250 0.125
Be1 0.000 0.000 0.500
F1 0.000 0.000 0.000
```


<two>
Compound: Zr2BeF
Source: the Alexandria database
Functional: PBE
Structure: optimized geometry

The structure in CIF format:
```
data_Zr2BeF
_chemical_formula_sum 'Zr8 Be4 F4'
_cell_length_a 6.295
_cell_length_b 6.295
_cell_length_c 6.295
_cell_angle_alpha 90.00
_cell_angle_beta 90.00
_cell_angle_gamma 90.00
_symmetry_space_group_name_H-M 'F m -3 m'
_symmetry_Int_Tables_number 225
_symmetry_space_group_name_Hall '-F 4 2 3'
loop_
_atom_site_label
_atom_site_fract_x
_atom_site_fract_y
_atom_site_fract_z
Zr1 0.250 0.250 0.250
Be1 0.000 0.000 0.000
F1 0.000 0.000 0.500
```


Name the most stable of them. <two>.


<one>
Compound: ZrBeF2
Source: the Alexandria database
Functional: PBE
Structure: optimized geometry

The structure in CIF format:
```
data_ZrBeF2
_chemical_formula_sum 'Zr3 Be3 F6'
_cell_length_a 2.7795
_cell_length_b 2.7795
_cell_length_c 25.6007
_cell_angle_alpha 90.00
_cell_angle_beta 90.00
_cell_angle_gamma 120.00
_symmetry_space_group_name_H-M 'R -3 m'
_symmetry_Int_Tables_number 166
_symmetry_space_group_name_Hall '-R 3 2"'
loop_
_atom_site_label
_atom_site_fract_x
_atom_site_fract_y
_atom_site_fract_z
Zr1 0.0000 0.0000 0.0000
Be1 0.0000 0.0000 0.5000
F1 0.0000 0.0000 0.1329
```


<two>
Compound: ZrBeF2
Source: the Alexandria database
Functional: PBE
Structure: optimized geometry

The structure in CIF format:
```
data_ZrBeF2
_chemical_formula_sum 'Zr4 Be4 F8'
_cell_length_a 5.842
_cell_length_b 5.842
_cell_length_c 5.842
_cell_angle_alpha 90.00
_cell_angle_beta 90.00
_cell_angle_gamma 90.00
_symmetry_space_group_name_H-M 'F m -3 m'
_symmetry_Int_Tables_number 225
_symmetry_space_group_name_Hall '-F 4 2 3'
loop_
_atom_site_label
_atom_site_fract_x
_atom_site_fract_y
_atom_site_fract_z
Zr1 0.000 0.000 0.000
Be1 0.000 0.000 0.500
F1 0.250 0.250 0.250
```


Name the most stable of them. <one>.


<one>
Compound: ZrBeF2
Source: the Alexandria database
Functional: PBE
Structure: optimized geometry

The structure in CIF format:
```
data_ZrBeF2
_chemical_formula_sum 'Zr3 Be3 F6'
_cell_length_a 2.8979
_cell_length_b 2.8979
_cell_length_c 21.6625
_cell_angle_alpha 90.00
_cell_angle_beta 90.00
_cell_angle_gamma 120.00
_symmetry_space_group_name_H-M 'R -3 m'
_symmetry_Int_Tables_number 166
_symmetry_space_group_name_Hall '-R 3 2"'
loop_
_atom_site_label
_atom_site_fract_x
_atom_site_fract_y
_atom_site_fract_z
Zr1 0.0000 0.0000 0.0000
Be1 0.0000 0.0000 0.5000
F1 0.0000 0.0000 0.4078
```


<two>
Compound: ZrBeF2
Source: the Alexandria database
Functional: PBE
Structure: optimized geometry

The structure in CIF format:
```
data_ZrBeF2
_chemical_formula_sum 'Zr4 Be4 F8'
_cell_length_a 5.358
_cell_length_b 5.358
_cell_length_c 7.645
_cell_angle_alpha 90.00
_cell_angle_beta 90.00
_cell_angle_gamma 90.00
_symmetry_space_group_name_H-M 'I 41/a m d'
_symmetry_Int_Tables_number 141
loop_
_symmetry_equiv_pos_as_xyz
'x,y,z'
'-x,-y,-z'
'-y+1/4,x+3/4,z+1/4'
'y+1/4,-x+3/4,-z+1/4'
'-x+1/2,-y,z+1/2'
'x+1/2,y,-z+1/2'
'y+1/4,-x+1/4,z+3/4'
'-y+1/4,x+1/4,-z+3/4'
'x,-y,-z'
'-x,y,z'
'-y+1/4,-x+1/4,-z+3/4'
'y+1/4,x+1/4,z+3/4'
'-x+1/2,y,-z+1/2'
'x+1/2,-y,z+1/2'
'y+1/4,x+3/4,-z+1/4'
'-y+1/4,-x+3/4,z+1/4'
'x+1/2,y+1/2,z+1/2'
'-x+1/2,-y+1/2,-z+1/2'
'-y+3/4,x+1/4,z+3/4'
'y+3/4,-x+1/4,-z+3/4'
'-x,-y+1/2,z'
'x,y+1/2,-z'
'y+3/4,-x+3/4,z+1/4'
'-y+3/4,x+3/4,-z+1/4'
'x+1/2,-y+1/2,-z+1/2'
'-x+1/2,y+1/2,z+1/2'
'-y+3/4,-x+3/4,-z+1/4'
'y+3/4,x+3/4,z+1/4'
'-x,y+1/2,-z'
'x,-y+1/2,z'
'y+3/4,x+1/4,-z+3/4'
'-y+3/4,-x+1/4,z+3/4'
loop_
_atom_site_label
_atom_site_fract_x
_atom_site_fract_y
_atom_site_fract_z
Zr1 0.000 0.250 0.375
Be1 0.000 0.250 0.875
F1 0.000 0.000 0.000
```


Name the most stable of them. <one>.


<one>
Compound: ZrBe3F
Source: the Alexandria database
Functional: PBE
Structure: optimized geometry

The structure in CIF format:
```
data_ZrBe3F
_chemical_formula_sum 'Zr1 Be3 F1'
_cell_length_a 3.976
_cell_length_b 3.976
_cell_length_c 3.976
_cell_angle_alpha 90.00
_cell_angle_beta 90.00
_cell_angle_gamma 90.00
_symmetry_space_group_name_H-M 'P m -3 m'
_symmetry_Int_Tables_number 221
_symmetry_space_group_name_Hall '-P 4 2 3'
loop_
_atom_site_label
_atom_site_fract_x
_atom_site_fract_y
_atom_site_fract_z
Zr1 0.000 0.000 0.000
Be1 0.000 0.500 0.500
F1 0.500 0.500 0.500
```


<two>
Compound: ZrBe3F
Source: the Alexandria database
Functional: PBE
Structure: optimized geometry

The structure in CIF format:
```
data_ZrBe3F
_chemical_formula_sum 'Zr1 Be3 F1'
_cell_length_a 5.039
_cell_length_b 5.039
_cell_length_c 5.039
_cell_angle_alpha 90.00
_cell_angle_beta 90.00
_cell_angle_gamma 90.00
_symmetry_space_group_name_H-M 'P m -3 m'
_symmetry_Int_Tables_number 221
_symmetry_space_group_name_Hall '-P 4 2 3'
loop_
_atom_site_label
_atom_site_fract_x
_atom_site_fract_y
_atom_site_fract_z
Zr1 0.000 0.000 0.000
Be1 0.000 0.000 0.500
F1 0.500 0.500 0.500
```


Name the most stable of them. <one>.


<one>
Compound: ZrBe2F
Source: the Alexandria database
Functional: PBE
Structure: optimized geometry

The structure in CIF format:
```
data_ZrBe2F
_chemical_formula_sum 'Zr4 Be8 F4'
_cell_length_a 5.509
_cell_length_b 5.509
_cell_length_c 7.446
_cell_angle_alpha 90.00
_cell_angle_beta 90.00
_cell_angle_gamma 90.00
_symmetry_space_group_name_H-M 'I -4 2 d'
_symmetry_Int_Tables_number 122
_symmetry_space_group_name_Hall 'I -4 2bw'
loop_
_atom_site_label
_atom_site_fract_x
_atom_site_fract_y
_atom_site_fract_z
Zr1 0.000 0.000 0.000
Be1 0.092 0.750 0.625
F1 0.000 0.000 0.500
```


<two>
Compound: ZrBe2F
Source: the Alexandria database
Functional: PBE
Structure: optimized geometry

The structure in CIF format:
```
data_ZrBe2F
_chemical_formula_sum 'Zr4 Be8 F4'
_cell_length_a 6.036
_cell_length_b 6.036
_cell_length_c 6.036
_cell_angle_alpha 90.00
_cell_angle_beta 90.00
_cell_angle_gamma 90.00
_symmetry_space_group_name_H-M 'F m -3 m'
_symmetry_Int_Tables_number 225
_symmetry_space_group_name_Hall '-F 4 2 3'
loop_
_atom_site_label
_atom_site_fract_x
_atom_site_fract_y
_atom_site_fract_z
Zr1 0.000 0.000 0.000
Be1 0.250 0.250 0.250
F1 0.000 0.000 0.500
```


Name the most stable of them. <one>.


<one>
Compound: ZrBeF3
Source: the Alexandria database
Functional: PBE
Structure: optimized geometry

The structure in CIF format:
```
data_ZrBeF3
_chemical_formula_sum 'Zr1 Be1 F3'
_cell_length_a 4.329
_cell_length_b 4.329
_cell_length_c 4.329
_cell_angle_alpha 90.00
_cell_angle_beta 90.00
_cell_angle_gamma 90.00
_symmetry_space_group_name_H-M 'P m -3 m'
_symmetry_Int_Tables_number 221
_symmetry_space_group_name_Hall '-P 4 2 3'
loop_
_atom_site_label
_atom_site_fract_x
_atom_site_fract_y
_atom_site_fract_z
Zr1 0.000 0.000 0.000
Be1 0.500 0.500 0.500
F1 0.000 0.000 0.500
```


<two>
Compound: ZrBeF3
Source: the Alexandria database
Functional: PBE
Structure: optimized geometry

The structure in CIF format:
```
data_ZrBeF3
_chemical_formula_sum 'Zr1 Be1 F3'
_cell_length_a 3.856
_cell_length_b 3.856
_cell_length_c 3.856
_cell_angle_alpha 90.00
_cell_angle_beta 90.00
_cell_angle_gamma 90.00
_symmetry_space_group_name_H-M 'P m -3 m'
_symmetry_Int_Tables_number 221
_symmetry_space_group_name_Hall '-P 4 2 3'
loop_
_atom_site_label
_atom_site_fract_x
_atom_site_fract_y
_atom_site_fract_z
Zr1 0.000 0.000 0.000
Be1 0.500 0.500 0.500
F1 0.000 0.500 0.500
```


Name the most stable of them. <one>.


<one>
Compound: Be2Fe
Source: the Alexandria database
Functional: PBE
Structure: optimized geometry

The structure in CIF format:
```
data_Be2Fe
_chemical_formula_sum 'Be8 Fe4'
_cell_length_a 4.1686
_cell_length_b 4.1686
_cell_length_c 6.7870
_cell_angle_alpha 90.00
_cell_angle_beta 90.00
_cell_angle_gamma 120.00
_symmetry_space_group_name_H-M 'P 63/m m c'
_symmetry_Int_Tables_number 194
_symmetry_space_group_name_Hall '-P 6c 2c'
loop_
_atom_site_label
_atom_site_fract_x
_atom_site_fract_y
_atom_site_fract_z
Be1 0.0000 0.0000 0.0000
Be2 0.1704 0.3408 0.2500
Fe1 0.3333 0.6667 0.5618
```


<two>
Compound: Be2Fe
Source: the Alexandria database
Functional: PBE
Structure: optimized geometry

The structure in CIF format:
```
data_Be2Fe
_chemical_formula_sum 'Be8 Fe4'
_cell_length_a 8.021
_cell_length_b 2.685
_cell_length_c 5.030
_cell_angle_alpha 90.00
_cell_angle_beta 107.96
_cell_angle_gamma 90.00
_symmetry_space_group_name_H-M 'C 1 2/m 1'
_symmetry_Int_Tables_number 12
loop_
_symmetry_equiv_pos_as_xyz
'x,y,z'
'-x,-y,-z'
'-x,y,-z'
'x,-y,z'
'x+1/2,y+1/2,z'
'-x+1/2,-y+1/2,-z'
'-x+1/2,y+1/2,-z'
'x+1/2,-y+1/2,z'
loop_
_atom_site_label
_atom_site_fract_x
_atom_site_fract_y
_atom_site_fract_z
Be1 0.000 0.000 0.000
Be2 0.000 0.000 0.500
Be3 0.166 0.500 0.335
Fe1 0.160 0.500 0.823
```


<three>
Compound: Be2Fe
Source: the Alexandria database
Functional: PBE
Structure: optimized geometry

The structure in CIF format:
```
data_Be2Fe
_chemical_formula_sum 'Be4 Fe2'
_cell_length_a 2.555
_cell_length_b 2.555
_cell_length_c 8.005
_cell_angle_alpha 90.00
_cell_angle_beta 90.00
_cell_angle_gamma 90.00
_symmetry_space_group_name_H-M 'I 4/m m m'
_symmetry_Int_Tables_number 139
_symmetry_space_group_name_Hall '-I 4 2'
loop_
_atom_site_label
_atom_site_fract_x
_atom_site_fract_y
_atom_site_fract_z
Be1 0.000 0.000 0.175
Fe1 0.000 0.000 0.500
```


<four>
Compound: Be2Fe
Source: the Alexandria database
Functional: PBE
Structure: optimized geometry

The structure in CIF format:
```
data_Be2Fe
_chemical_formula_sum 'Be8 Fe4'
_cell_length_a 7.470
_cell_length_b 3.787
_cell_length_c 3.654
_cell_angle_alpha 90.00
_cell_angle_beta 90.00
_cell_angle_gamma 90.00
_symmetry_space_group_name_H-M 'C m c m'
_symmetry_Int_Tables_number 63
_symmetry_space_group_name_Hall '-C 2c 2'
loop_
_atom_site_label
_atom_site_fract_x
_atom_site_fract_y
_atom_site_fract_z
Be1 0.176 0.171 0.250
Fe1 0.000 0.308 0.750
```


Name the most stable of them. <one>.


<one>
Compound: Be2Fe
Source: the Alexandria database
Functional: PBE
Structure: optimized geometry

The structure in CIF format:
```
data_Be2Fe
_chemical_formula_sum 'Be16 Fe8'
_cell_length_a 4.1628
_cell_length_b 4.1628
_cell_length_c 13.6379
_cell_angle_alpha 90.00
_cell_angle_beta 90.00
_cell_angle_gamma 120.00
_symmetry_space_group_name_H-M 'P 63/m m c'
_symmetry_Int_Tables_number 194
_symmetry_space_group_name_Hall '-P 6c 2c'
loop_
_atom_site_label
_atom_site_fract_x
_atom_site_fract_y
_atom_site_fract_z
Be1 0.0000 0.5000 0.0000
Be2 0.1631 0.3261 0.2500
Be3 0.3333 0.6667 0.1253
Fe1 0.0000 0.0000 0.0944
Fe2 0.3333 0.6667 0.6554
```


<two>
Compound: Be2Fe
Source: the Alexandria database
Functional: PBE
Structure: optimized geometry

The structure in CIF format:
```
data_Be2Fe
_chemical_formula_sum 'Be4 Fe2'
_cell_length_a 3.6787
_cell_length_b 3.6787
_cell_length_c 4.3089
_cell_angle_alpha 90.00
_cell_angle_beta 90.00
_cell_angle_gamma 120.00
_symmetry_space_group_name_H-M 'P 63/m m c'
_symmetry_Int_Tables_number 194
_symmetry_space_group_name_Hall '-P 6c 2c'
loop_
_atom_site_label
_atom_site_fract_x
_atom_site_fract_y
_atom_site_fract_z
Be1 0.0000 0.0000 0.0000
Be2 0.3333 0.6667 0.2500
Fe1 0.3333 0.6667 0.7500
```


Name the most stable of them. <one>.